(1)
A plane-wave DFT calculation with GGA-PBE was carried out for KMgW2 after structural relaxation.

Summary:
- ΔE_f (eV/atom) = 1.5209

```
data_KMgW2
_chemical_formula_sum 'K1 Mg1 W2'
_cell_length_a 3.896
_cell_length_b 3.896
_cell_length_c 5.336
_cell_angle_alpha 90.00
_cell_angle_beta 90.00
_cell_angle_gamma 90.00
_symmetry_space_group_name_H-M 'P 4/m m m'
_symmetry_Int_Tables_number 123
_symmetry_space_group_name_Hall '-P 4 2'
loop_
_atom_site_label
_atom_site_fract_x
_atom_site_fract_y
_atom_site_fract_z
K1 0.000 0.000 0.000
Mg1 0.500 0.500 0.000
W1 0.000 0.500 0.500
```


(2)
A plane-wave DFT calculation with GGA-PBE was carried out for KMgW after structural relaxation.

Summary:
- ΔE_f (eV/atom) = 2.0019

```
data_KMgW
_chemical_formula_sum 'K4 Mg4 W4'
_cell_length_a 7.380
_cell_length_b 7.380
_cell_length_c 7.380
_cell_angle_alpha 90.00
_cell_angle_beta 90.00
_cell_angle_gamma 90.00
_symmetry_space_group_name_H-M 'F -4 3 m'
_symmetry_Int_Tables_number 216
_symmetry_space_group_name_Hall 'F -4 2 3'
loop_
_atom_site_label
_atom_site_fract_x
_atom_site_fract_y
_atom_site_fract_z
K1 0.000 0.000 0.000
Mg1 0.250 0.250 0.750
W1 0.000 0.000 0.500
```


- What is the ΔE_f in the second record?
  2.0019 eV/atom


- Which of these has the highest ΔE_f?
  KMgW


- What is the ΔE_f in the first record?
  1.5209 eV/atom


Please write out number 1 again, unchanged.
A plane-wave DFT calculation with GGA-PBE was carried out for KMgW2 after structural relaxation.

Summary:
- ΔE_f (eV/atom) = 1.5209

```
data_KMgW2
_chemical_formula_sum 'K1 Mg1 W2'
_cell_length_a 3.896
_cell_length_b 3.896
_cell_length_c 5.336
_cell_angle_alpha 90.00
_cell_angle_beta 90.00
_cell_angle_gamma 90.00
_symmetry_space_group_name_H-M 'P 4/m m m'
_symmetry_Int_Tables_number 123
_symmetry_space_group_name_Hall '-P 4 2'
loop_
_atom_site_label
_atom_site_fract_x
_atom_site_fract_y
_atom_site_fract_z
K1 0.000 0.000 0.000
Mg1 0.500 0.500 0.000
W1 0.000 0.500 0.500
```